Ce2Be6Pt9 (PBE, relaxed); DOS at the Fermi energy = 0.785 states/eV/atom; DFT total energy = -102.322 eV/cell; energy relative to the elements = -807.7 meV/atom; mass density = 12.8 g cm⁻³
1.0
5.5544 0.0000 0.0000
-2.7772 4.8103 0.0000
0.0000 0.0000 10.1363
Ce Pt Be
2 9 6
Cartesian
0.0000 0.0000 3.1115
0.0000 0.0000 7.0247
1.3886 2.4051 5.0681
1.3886 2.4051 8.4717
-1.3886 2.4051 5.0681
2.7772 0.0000 8.4717
-1.3886 2.4051 1.6645
2.7772 0.0000 1.6645
1.3886 2.4051 1.6645
2.7772 0.0000 5.0681
-1.3886 2.4051 8.4717
2.7772 1.6034 6.7561
2.7772 1.6034 0.0000
0.0000 3.2069 6.7561
0.0000 3.2069 0.0000
0.0000 3.2069 3.3801
2.7772 1.6034 3.3801